Entry 1:
VASP calculation (GGA-PBE) on a relaxed structure of BaTlBr4.

a b c (Å): 5.9796 10.5315 9.2172
angles (deg): 90.00 108.44 90.00
Fractional positions:
1 Ba 0.0570 0.2500 0.1096
2 Ba 0.9430 0.7500 0.8904
3 Tl 0.2219 0.7500 0.4343
4 Tl 0.7781 0.2500 0.5657
5 Br 0.1022 0.5617 0.1914
6 Br 0.1022 0.9383 0.1914
7 Br 0.2548 0.2500 0.5172
8 Br 0.3897 0.7500 0.7814
9 Br 0.6103 0.2500 0.2186
10 Br 0.7452 0.7500 0.4828
11 Br 0.8978 0.0617 0.8086
12 Br 0.8978 0.4383 0.8086

Output
total moment	0.000	μB per atom
calculated density	4.0	g cm⁻³
ΔE to the lowest computed polymorph	0.0	kJ per mole of atoms
E_form (uncorrected)	-1.3223	eV per atom

Entry 2:
VASP calculation (GGA-PBE) on a relaxed structure of Ca2NpN3.

a b c (Å): 6.7535 6.7535 6.7535
angles (deg): 51.47 51.47 51.47
Fractional positions:
1 Ca 0.1727 0.1727 0.1727
2 Ca 0.3273 0.3273 0.3273
3 Ca 0.6727 0.6727 0.6727
4 Ca 0.8273 0.8273 0.8273
5 Np 0.0000 0.0000 0.0000
6 Np 0.5000 0.5000 0.5000
7 N 0.1298 0.7500 0.3702
8 N 0.2500 0.6298 0.8702
9 N 0.3702 0.1298 0.7500
10 N 0.6298 0.8702 0.2500
11 N 0.7500 0.3702 0.1298
12 N 0.8702 0.2500 0.6298

Output
total moment	0.333	μB per atom
calculated density	6.9	g cm⁻³
ΔE to the lowest computed polymorph	24.8	kJ per mole of atoms
E_form (uncorrected)	-0.8960	eV per atom

Entry 3:
VASP calculation (GGA-PBE) on a relaxed structure of Na2DyAuO4.

a b c (Å): 5.1328 5.1328 5.1328
angles (deg): 109.02 109.02 110.38
Fractional positions:
1 Na 0.0000 0.5000 0.5000
2 Na 0.5000 0.0000 0.5000
3 Dy 0.0000 0.0000 0.0000
4 Au 0.5000 0.5000 0.0000
5 O 0.0499 0.0499 0.6031
6 O 0.4468 0.4468 0.3969
7 O 0.5532 0.9501 0.0000
8 O 0.9501 0.5532 0.0000

Output
total moment	0.000	μB per atom
calculated density	7.5	g cm⁻³
E_form (uncorrected)	-1.2903	eV per atom

Entry 4:
VASP calculation (GGA-PBE) on a relaxed structure of VSb2TeH.

a b c (Å): 4.3079 4.3079 5.5406
angles (deg): 90.00 90.00 90.00
Fractional positions:
1 V 0.0000 0.0000 0.0000
2 Sb 0.0000 0.5000 0.5000
3 Sb 0.5000 0.0000 0.5000
4 Te 0.5000 0.5000 0.0000
5 H 0.5000 0.5000 0.5000

Output
total moment	0.009	μB per atom
calculated density	6.8	g cm⁻³
ΔE to the lowest computed polymorph	9.4	kJ per mole of atoms

Entry 5:
VASP calculation (GGA-PBE) on a relaxed structure of Na2GeTe4As.

a b c (Å): 7.2130 4.1624 8.0664
angles (deg): 90.00 107.37 90.00
Fractional positions:
1 Na 0.0000 0.0000 0.0000
2 Na 0.5000 0.5000 0.0000
3 Ge 0.0000 0.5000 0.5000
4 Te 0.2406 0.0000 0.7161
5 Te 0.2649 0.5000 0.2853
6 Te 0.7351 0.5000 0.7147
7 Te 0.7594 0.0000 0.2839
8 As 0.5000 0.0000 0.5000

Output
total moment	0.000	μB per atom
calculated density	5.1	g cm⁻³
E_form (uncorrected)	-0.3506	eV per atom

Entry 6:
VASP calculation (GGA-PBE) on a relaxed structure of Nd8Ge5Bi.

a b c (Å): 8.0294 8.0294 8.0294
angles (deg): 109.25 109.25 109.92
Fractional positions:
1 Nd 0.1261 0.2498 0.7470
2 Nd 0.1318 0.7342 0.7411
3 Nd 0.2658 0.0069 0.3976
4 Nd 0.5028 0.3790 0.2530
5 Nd 0.6093 0.8682 0.6024
6 Nd 0.6210 0.8739 0.1237
7 Nd 0.7502 0.4972 0.8763
8 Nd 0.9931 0.3907 0.2589
9 Ge 0.2459 0.6240 0.1228
10 Ge 0.3760 0.4987 0.6219
11 Ge 0.5013 0.1231 0.8772
12 Ge 0.7500 0.2500 0.5000
13 Ge 0.8769 0.7541 0.3781
14 Bi 0.0000 0.0000 0.0000

Output
total moment	0.000	μB per atom
calculated density	7.2	g cm⁻³
formation enthalpy at 0 K	-11.38	eV/f.u.

Entry 7:
VASP calculation (GGA-PBE) on a relaxed structure of Sc2MnFePd.

a b c (Å): 4.7897 4.7897 4.1439
angles (deg): 90.00 90.00 90.00
Fractional positions:
1 Sc 0.0000 0.5000 0.0000
2 Sc 0.5000 0.0000 0.0000
3 Mn 0.0000 0.0000 0.5000
4 Fe 0.0000 0.0000 0.0000
5 Pd 0.5000 0.5000 0.5000

Output
total moment	0.533	μB per atom
calculated density	5.4	g cm⁻³
formation enthalpy at 0 K	0.80	eV/f.u.

Entry 8:
VASP calculation (GGA-PBE) on a relaxed structure of La2MoW.

a b c (Å): 5.1444 5.1444 5.1444
angles (deg): 60.00 60.00 60.00
Fractional positions:
1 La 0.2500 0.2500 0.2500
2 La 0.7500 0.7500 0.7500
3 Mo 0.0000 0.0000 0.0000
4 W 0.5000 0.5000 0.5000

Output
total moment	0.807	μB per atom
calculated density	9.6	g cm⁻³
ΔE to the lowest computed polymorph	62.8	kJ per mole of atoms
formation enthalpy at 0 K	3.77	eV/f.u.

Entry 9:
VASP calculation (GGA-PBE) on a relaxed structure of MgHgN2O.

a b c (Å): 4.2212 4.2212 3.8702
angles (deg): 90.00 90.00 90.00
Fractional positions:
1 Mg 0.0000 0.0000 0.0000
2 Hg 0.5000 0.5000 0.5000
3 N 0.0000 0.5000 0.0000
4 N 0.5000 0.0000 0.0000
5 O 0.0000 0.0000 0.5000

Output
total moment	0.811	μB per atom
calculated density	6.5	g cm⁻³
E_form (uncorrected)	1.0134	eV per atom

Entry 10:
VASP calculation (GGA-PBE) on a relaxed structure of TaMnPd6.

a b c (Å): 5.2637 5.2637 5.2637
angles (deg): 86.22 86.22 86.22
Fractional positions:
1 Ta 0.0000 0.0000 0.0000
2 Mn 0.5000 0.5000 0.5000
3 Pd 0.1653 0.1653 0.5425
4 Pd 0.1653 0.5425 0.1653
5 Pd 0.4575 0.8347 0.8347
6 Pd 0.5425 0.1653 0.1653
7 Pd 0.8347 0.4575 0.8347
8 Pd 0.8347 0.8347 0.4575

Output
total moment	0.513	μB per atom
calculated density	10.0	g cm⁻³
ΔE to the lowest computed polymorph	60.8	kJ per mole of atoms
formation enthalpy at 0 K	1.79	eV/f.u.

Entry 11:
VASP calculation (GGA-PBE) on a relaxed structure of Li2BeCrRe.

a b c (Å): 3.7415 3.7415 4.2693
angles (deg): 90.00 90.00 90.00
Fractional positions:
1 Li 0.0000 0.5000 0.0000
2 Li 0.5000 0.0000 0.0000
3 Be 0.0000 0.0000 0.0000
4 Cr 0.0000 0.0000 0.5000
5 Re 0.5000 0.5000 0.5000

Output
total moment	0.000	μB per atom
calculated density	7.3	g cm⁻³
formation enthalpy at 0 K	5.03	eV/f.u.

Entry 12:
VASP calculation (GGA-PBE) on a relaxed structure of LaPtPb2O6.

a b c (Å): 5.7378 6.2852 10.2599
angles (deg): 90.00 123.87 90.00
Fractional positions:
1 La 0.0000 0.0000 0.0000
2 La 0.0000 0.5000 0.5000
3 Pt 0.5000 0.0000 0.5000
4 Pt 0.5000 0.5000 0.0000
5 Pb 0.2207 0.0481 0.7286
6 Pb 0.2207 0.4519 0.2286
7 Pb 0.7793 0.5481 0.7714
8 Pb 0.7793 0.9519 0.2714
9 O 0.1778 0.1701 0.4736
10 O 0.1778 0.3299 0.9736
11 O 0.2520 0.7407 0.4398
12 O 0.2520 0.7593 0.9398
13 O 0.3657 0.0488 0.2735
14 O 0.3657 0.4512 0.7735
15 O 0.6343 0.5488 0.2265
16 O 0.6343 0.9512 0.7265
17 O 0.7480 0.2407 0.0602
18 O 0.7480 0.2593 0.5602
19 O 0.8222 0.6701 0.0264
20 O 0.8222 0.8299 0.5264

Output
total moment	0.000	μB per atom
calculated density	9.1	g cm⁻³
E_form (uncorrected)	-1.4466	eV per atom

It is found that the DOS at the Fermi energy values, taken in the order of the records, are 0.369 0.922 0.646 0.974 0.222 0.506 0.831 1.115 0.357 0.837 0.701 0.614 states/eV per atom.